The following is a PBE calculation of a geometry-optimized MnSn2SbPt structure, from the Alexandria database.

Lattice parameters (Å, degrees): 5.1491 5.1491 6.8428 100.61 100.61 38.62
Last column: nearest neighbours and their distance in Å.
Atoms (fractional coordinates):
1 Mn 0.0000 0.0000 0.0000  3 Sb 2.67-2.77, 3 Sn 2.77-2.87, 2 Pt 2.83
2 Sn 0.1231 0.1231 0.4167  2 Pt 2.74, 1 Mn 2.87, 1 Sn 2.98
3 Sn 0.4057 0.4057 0.6828  2 Mn 2.77, 1 Pt 2.78, 1 Sn 2.98
4 Sb 0.7266 0.7266 0.0102  3 Mn 2.67-2.77, 2 Pt 2.83
5 Pt 0.4052 0.4052 0.2771  3 Sn 2.74-2.78, 2 Sb 2.83, 2 Mn 2.83

Calculated values
* raw formation energy: -33.9 meV/atom
* space-group type: Cm, No. 8
* volume: 22.21 A^3/atom
* relative energy among the computed polymorphs: 142 meV per atom